# 1
An optimized crystal structure of Cu2Te2C, computed with PBE-GGA.

a = 4.677 Å, b = 13.058 Å, c = 13.067 Å
α = 90.00°, β = 90.00°, γ = 90.00°
Space group Fddd (No. 70, origin choice 2)
Symmetry-distinct sites (fractional):
Cu 0.125 0.342 0.125
Te 0.000 0.000 0.500
C 0.125 0.125 0.625

=====

# 2
An optimized crystal structure of TlCuW4C2, computed with PBE-GGA.

- Spin magnetization: 0.00 Bohr magnetons per cell

a = 3.1144 Å, b = 3.1144 Å, c = 13.5062 Å
α = 90.00°, β = 90.00°, γ = 120.00°
Space group P-6m2 (No. 187)
Symmetry-distinct sites (fractional):
Tl 0.0000 0.0000 0.0000
Cu 0.3333 0.6667 0.5000
W 0.0000 0.0000 0.3494
W 0.3333 0.6667 0.1820
C 0.6667 0.3333 0.2649

=====

# 3
An optimized crystal structure of CuW2C, computed with PBE-GGA.

- Spin magnetization: 0.00 Bohr magnetons per cell

a = 9.196 Å, b = 5.309 Å, c = 13.241 Å
α = 90.00°, β = 103.35°, γ = 90.00°
Space group C2/c (No. 15)
Symmetry-distinct sites (fractional):
Cu 0.000 0.080 0.250
Cu 0.168 0.415 0.750
W 0.054 0.417 0.411
W 0.113 0.084 0.589
W 0.220 0.083 0.911
C 0.083 0.251 0.000
C 0.250 0.250 0.500

=====

# 4
An optimized crystal structure of CuW3C2, computed with PBE-GGA.

- Spin magnetization: 0.00 Bohr magnetons per cell

a = 3.0380 Å, b = 3.0380 Å, c = 18.3745 Å
α = 90.00°, β = 90.00°, γ = 120.00°
Space group P6_3/mmc (No. 194)
Symmetry-distinct sites (fractional):
Cu 0.0000 0.0000 0.2500
W 0.0000 0.0000 0.0000
W 0.3333 0.6667 0.1350
C 0.3333 0.6667 0.5715

=====

DFT total energy per entry: -3.647 -9.176 -9.454 -9.896 eV per atom